Record 1
NdErRu PBE-GGA relaxed; energy above the most stable polymorph in this dataset = 0.020 eV/atom; ΔE_f = -0.264 eV/atom
1.0
-2.0890 2.2507 -1.5414
-0.6288 -2.2865 -2.4865
-3.7504 -2.3489 5.4824
Ru Nd Er
1 1 1
direct
0.6721 0.6721 0.3443 Ru
0.0375 0.0375 0.0749 Nd
0.2904 0.2904 0.5808 Er

***

Record 2
NdEr5Ru4 PBE-GGA relaxed; ΔE_f = -0.340 eV/atom
1.0
3.3868 0.0000 0.0000
0.0000 3.3868 0.0000
0.0000 0.0000 19.1476
Nd Er Ru
1 5 4
direct
0.0000 0.0000 0.0000 Nd
0.5000 0.5000 0.1510 Er
0.5000 0.5000 0.3252 Er
0.5000 0.5000 0.5000 Er
0.5000 0.5000 0.6748 Er
0.5000 0.5000 0.8490 Er
0.0000 0.0000 0.2319 Ru
0.0000 0.0000 0.4118 Ru
0.0000 0.0000 0.5882 Ru
0.0000 0.0000 0.7681 Ru

***

| no. | volume (A^3/atom) | density of states at the Fermi level (states/eV per atom) | uncorrected energy (eV per atom) |
| --- | --- | --- | --- |
| 1 | 26.03 | 0.543 | -6.466 |
| 2 | 21.96 | 0.855 | -6.809 |